Record 1
The following is a PBE calculation of a geometry-optimized Pm4CI2Cl structure, from the Alexandria database.

```
Pm4CI2Cl
1.0
-2.223 -2.270 -2.364
5.660 -4.303 -1.192
-3.745 -2.961 6.365
Pm C I Cl
4 1 2 1
Direct
0.500 0.274 0.181
0.500 0.726 0.819
0.000 0.307 0.822
0.000 0.693 0.178
0.500 0.500 0.000
0.500 0.000 0.500
0.000 0.500 0.500
0.000 0.000 0.000
```

## Properties
Formation energy without anion corrections in meV per atom: -904
SG: No. 10
Total magnetic moment in μB/cell: 0.0

Record 2
The following is a PBE calculation of a geometry-optimized Dy4NiBi2 structure, from the Alexandria database.

```
Dy4NiBi2
1.0
-4.426 -2.215 0.717
2.147 -3.287 3.098
-0.344 7.774 4.450
Ni Bi Dy
1 2 4
Direct
0.000 0.000 0.000
0.641 0.641 0.281
0.359 0.359 0.719
0.832 0.832 0.665
0.168 0.168 0.335
0.000 0.500 0.000
0.500 0.000 0.000
```

## Properties
Formation energy from the elements in eV/atom: -0.524
SG: No. 139
Total magnetic moment in μB/cell: 0.0
Energy relative to the lowest polymorph listed for this composition in meV per atom: 0

Record 3
The following is a PBE calculation of a geometry-optimized MgAuBr2 structure, from the Alexandria database.

```
MgAuBr2
1.0
-2.613 -1.409 2.209
1.947 -2.707 -1.606
5.554 0.071 6.614
Au Br Mg
1 2 1
Direct
0.500 0.500 0.725
0.000 0.000 0.916
0.500 0.500 0.336
0.000 0.000 0.524
```

## Properties
Formation energy without anion corrections in meV per atom: -453
SG: No. 35
Total magnetic moment in μB/cell: 0.0
Energy relative to the lowest polymorph listed for this composition in meV per atom: 172

Record 4
The following is a PBE calculation of a geometry-optimized Be3Co4Si structure, from the Alexandria database.

```
Be3Co4Si
1.0
3.726 0.000 0.000
0.000 5.274 0.000
0.000 0.000 7.452
Be Si Co
6 2 8
Direct
0.000 0.000 0.000
0.000 0.000 0.500
0.500 0.000 0.750
0.500 0.000 0.250
0.500 0.500 0.750
0.500 0.500 0.250
0.000 0.500 0.000
0.000 0.500 0.500
0.500 0.756 0.000
0.500 0.756 0.500
0.500 0.244 0.000
0.500 0.244 0.500
0.000 0.756 0.750
0.000 0.756 0.250
0.000 0.244 0.250
0.000 0.244 0.750
```

## Properties
Formation energy without anion corrections in meV per atom: -486
SG: No. 123
Total magnetic moment in μB/cell: 0.0

Record 5
The following is a PBE calculation of a geometry-optimized Ho2GeAu structure, from the Alexandria database.

```
Ho2GeAu
1.0
4.322 0.000 0.000
0.000 5.861 0.056
0.000 -2.851 7.434
Ho Ge Au
4 2 2
Direct
0.750 0.220 0.432
0.250 0.780 0.568
0.250 0.782 0.073
0.750 0.218 0.927
0.250 0.327 0.208
0.750 0.673 0.792
0.750 0.673 0.293
0.250 0.327 0.707
```

## Properties
Formation energy from the elements in eV/atom: -0.848
SG: No. 11
Total magnetic moment in μB/cell: 0.0

Record 6
The following is a PBE calculation of a geometry-optimized TiHSe2N structure, from the Alexandria database.

```
TiHSe2N
1.0
-2.813 -2.796 3.078
3.475 -3.623 -0.115
1.765 1.595 3.062
H N Se Ti
1 1 2 1
Direct
0.500 0.500 0.500
0.000 0.000 0.500
0.000 0.500 0.000
0.500 0.000 0.000
0.000 0.000 0.000
```

## Properties
SG: No. 123
Total magnetic moment in μB/cell: 1.5
Energy relative to the lowest polymorph listed for this composition in meV per atom: 0

Record 7
The following is a PBE calculation of a geometry-optimized MoIrRh6 structure, from the Alexandria database.

```
MoIrRh6
1.0
5.125 0.385 0.435
-0.177 5.136 0.435
-0.177 -0.198 5.151
Mo Ir Rh
1 1 6
Direct
0.000 0.000 0.000
0.500 0.500 0.500
0.163 0.553 0.163
0.163 0.163 0.553
0.837 0.447 0.837
0.447 0.837 0.837
0.837 0.837 0.447
0.553 0.163 0.163
```

## Properties
Formation energy from the elements in eV/atom: 0.726
SG: No. 166
Total magnetic moment in μB/cell: 0.1

Record 8
The following is a PBE calculation of a geometry-optimized Zr4AsH2 structure, from the Alexandria database.

```
Zr4AsH2
1.0
-3.863 -1.443 -5.432
0.792 -4.296 5.236
-3.209 5.315 2.820
Zr As H
8 2 4
Direct
0.954 0.205 0.363
0.407 0.545 0.249
0.843 0.591 0.637
0.795 0.157 0.749
0.409 0.046 0.251
0.296 0.159 0.751
0.455 0.704 0.863
0.841 0.593 0.137
0.250 0.750 0.500
0.000 0.000 0.000
0.681 0.375 0.806
0.569 0.875 0.194
0.625 0.431 0.306
0.125 0.319 0.694
```

## Properties
SG: No. 122
Total magnetic moment in μB/cell: 0.0
E_tot in eV per atom: -7.0706

Record 9
The following is a PBE calculation of a geometry-optimized Ba2PrSn6 structure, from the Alexandria database.

```
Ba2PrSn6
1.0
-1.423 2.417 6.145
-5.259 -5.039 0.764
6.554 -1.132 2.553
Ba Pr Sn
2 1 6
Direct
0.825 0.668 0.335
0.175 0.332 0.665
0.000 0.000 0.000
0.331 0.357 0.173
0.340 0.793 0.585
0.331 0.816 0.173
0.669 0.643 0.827
0.660 0.207 0.415
0.669 0.184 0.827
```

## Properties
Formation energy from the elements in eV/atom: -0.445
SG: No. 12
Total magnetic moment in μB/cell: 0.0

Record 10
The following is a PBE calculation of a geometry-optimized DySnPd3 structure, from the Alexandria database.

```
DySnPd3
1.0
-4.808 -0.425 1.299
-0.136 -4.552 -1.993
-0.359 -3.166 7.255
Dy Sn Pd
2 2 6
Direct
0.469 0.750 0.709
0.179 0.250 0.291
0.688 0.750 0.272
0.960 0.250 0.728
0.774 0.250 0.101
0.378 0.250 0.893
0.577 0.250 0.494
0.271 0.750 0.107
0.875 0.750 0.899
0.071 0.750 0.506
```

## Properties
Formation energy from the elements in eV/atom: -0.799
SG: No. 63
Total magnetic moment in μB/cell: 0.0
Energy relative to the lowest polymorph listed for this composition in meV per atom: 0

Record 11
The following is a PBE calculation of a geometry-optimized Tl2Zn2HgBr6 structure, from the Alexandria database.

```
Tl2Zn2HgBr6
1.0
7.978 1.202 0.951
5.219 8.121 0.203
0.287 -4.436 8.278
Tl Zn Hg Br
2 2 1 6
Direct
0.948 0.275 0.777
0.052 0.725 0.223
0.026 0.827 0.830
0.974 0.173 0.170
0.500 0.000 0.500
0.321 0.762 0.956
0.075 0.335 0.116
0.150 0.791 0.572
0.925 0.665 0.884
0.850 0.209 0.428
0.679 0.238 0.044
```

## Properties
Formation energy without anion corrections in meV per atom: -766
SG: No. 2
Total magnetic moment in μB/cell: 0.0

Record 12
The following is a PBE calculation of a geometry-optimized TlBiS4 structure, from the Alexandria database.

```
TlBiS4
1.0
-3.556 -4.354 0.366
0.447 -0.413 -5.601
8.956 -7.211 1.246
Tl Bi S
2 2 8
Direct
0.764 0.764 0.750
0.236 0.236 0.250
0.283 0.283 0.750
0.717 0.717 0.250
0.738 0.182 0.250
0.262 0.818 0.750
0.182 0.738 0.250
0.818 0.262 0.750
0.628 0.628 0.497
0.372 0.372 0.997
0.628 0.628 0.003
0.372 0.372 0.503
```

## Properties
Formation energy without anion corrections in meV per atom: 3
SG: No. 63
Total magnetic moment in μB/cell: 1.3
Energy relative to the lowest polymorph listed for this composition in meV per atom: 66